[1]
Computed, not measured: a geometry-optimized UTlN2 structure at the PBE-GGA level of DFT.

Cell and atoms, written as extended XYZ:
```
4
Lattice="-1.467 -2.496 1.987 1.990 -2.547 1.372 1.277 2.331 6.971" Properties=species:S:1:pos:R:3 pbc="T T T"
U 0.000 0.000 0.000
N 1.488 -1.530 8.483
N 0.311 -1.182 1.847
Tl 0.900 -1.356 5.165
```

Properties
- Space group: R-3m, No. 166
- Uncorrected energy: -8.364 eV/atom



[2]
Computed, not measured: a geometry-optimized PuHPt4 structure at the PBE-GGA level of DFT.

Cell and atoms, written as extended XYZ:
```
6
Lattice="5.305 0.000 0.000 2.652 4.594 0.000 2.652 1.531 4.331" Properties=species:S:1:pos:R:3 pbc="T T T"
Pt 5.305 3.063 0.534
Pt 5.305 1.524 2.709
Pt 6.637 3.832 2.709
Pt 3.972 3.832 2.709
H 0.000 0.000 0.000
Pu 2.652 1.531 1.083
```

Properties
- Space group: F-43m, No. 216
- Uncorrected energy: -7.165 eV/atom



[3]
Computed, not measured: a geometry-optimized Ba2TcBr structure at the PBE-GGA level of DFT.

Cell and atoms, written as extended XYZ:
```
4
Lattice="7.292 0.002 0.000 4.330 5.868 0.000 -5.811 -2.935 3.285" Properties=species:S:1:pos:R:3 pbc="T T T"
Br 5.811 2.935 0.000
Ba 2.165 2.934 1.643
Ba 0.000 0.000 0.000
Tc 3.646 0.001 1.643
```

Properties
- Distance to the lowest polymorph of the same formula: 315 meV/atom
- Space group: I-4m2, No. 119



[4]
Computed, not measured: a geometry-optimized YIn2Ni structure at the PBE-GGA level of DFT.

Cell and atoms, written as extended XYZ:
```
8
Lattice="4.361 -0.002 0.000 -2.178 5.252 0.000 0.000 0.000 7.370" Properties=species:S:1:pos:R:3 pbc="T T T"
In 0.001 3.741 4.049
In 2.181 1.509 3.322
In 0.001 3.741 7.007
In 2.181 1.509 0.363
Y 2.182 4.536 1.843
Y 0.001 0.714 5.528
Ni 2.184 3.026 5.528
Ni -0.001 2.224 1.843
```

Properties
- Energy relative to the elements: -0.4493 eV per atom
- Space group: Cmcm, No. 63



| no. | total magnetic moment (Bohr magnetons per cell) |
| --- | --- |
| 1 | 0.15 |
| 2 | 4.12 |
| 3 | 2.19 |
| 4 | 0.00 |